The following is a DFT calculation (PBE) of a relaxed structure of LaTaMo2.

The structure in POSCAR format:
```
LaTaMo2
1.0
2.957 -3.753 0.139
-1.773 -4.434 0.208
0.363 -2.899 -3.783
Mo La Ta
2 1 1
direct
0.750 0.750 0.750
0.250 0.250 0.250
0.000 0.000 0.000
0.500 0.500 0.500
```

## Properties
**Density of states at the Fermi level**: 3.1 states/eV/cell
**Total magnetization**: 0.000 μB per atom
**Total energy**: -9.194 eV per atom